1.
Density functional theory data (PBE-GGA) for a geometry-optimized ThMgP2 structure.

Results
The symmetry is R-3m.

Lattice parameters (Å, degrees): 4.133 4.133 6.622 71.82 71.82 60.00
Fractional coordinates of all 4 atoms:
P 0.253 0.253 0.240
P 0.747 0.747 0.760
Mg 0.000 0.000 0.000
Th 0.500 0.500 0.500

***

2.
Density functional theory data (PBE-GGA) for a geometry-optimized Th4MgP5 structure.

Results
The symmetry is R-3m.

Lattice parameters (Å, degrees): 4.127 4.127 16.554 82.84 82.84 60.00
Fractional coordinates of all 10 atoms:
Th 0.896 0.896 0.313
Th 0.299 0.299 0.103
Th 0.701 0.701 0.897
Th 0.104 0.104 0.687
Mg 0.500 0.500 0.500
P 0.403 0.403 0.792
P 0.000 0.000 0.000
P 0.597 0.597 0.208
P 0.804 0.804 0.589
P 0.196 0.196 0.411

***

3.
Density functional theory data (PBE-GGA) for a geometry-optimized MgTi2P2 structure.

Results
The symmetry is I4/mmm.

Lattice parameters (Å, degrees): 4.012 4.012 5.900 70.12 70.12 90.00
Fractional coordinates of all 5 atoms:
P 0.391 0.391 0.219
P 0.609 0.609 0.781
Mg 0.000 0.000 0.000
Ti 0.750 0.250 0.500
Ti 0.250 0.750 0.500

***

4.
Density functional theory data (PBE-GGA) for a geometry-optimized MgTi3P structure.

Results
The symmetry is Pm-3m.

Lattice parameters (Å, degrees): 4.601 4.601 4.601 90.00 90.00 90.00
Fractional coordinates of all 5 atoms:
P 0.000 0.000 0.000
Mg 0.500 0.500 0.500
Ti 0.000 0.500 0.000
Ti 0.000 0.000 0.500
Ti 0.500 0.000 0.000

***

5.
Density functional theory data (PBE-GGA) for a geometry-optimized MgTiP2 structure.

Results
The symmetry is R3m.

Lattice parameters (Å, degrees): 3.608 3.608 6.520 73.94 73.94 60.00
Fractional coordinates of all 4 atoms:
Mg 0.498 0.498 0.505
Ti 0.668 0.668 0.996
P 0.076 0.076 0.771
P 0.258 0.258 0.227

***

6.
Density functional theory data (PBE-GGA) for a geometry-optimized MgTiP2 structure.

Results
The symmetry is I-42d.

Lattice parameters (Å, degrees): 5.803 5.803 6.918 65.20 65.20 90.00
Fractional coordinates of all 8 atoms:
P 0.653 0.125 0.250
P 0.097 0.625 0.250
P 0.375 0.347 0.750
P 0.875 0.903 0.750
Mg 0.500 0.500 0.000
Mg 0.250 0.750 0.500
Ti 0.000 0.000 0.000
Ti 0.750 0.250 0.500

***

7.
Density functional theory data (PBE-GGA) for a geometry-optimized MgTi2P2 structure.

Results
The symmetry is P4/mbm.

Lattice parameters (Å, degrees): 6.832 6.832 3.288 90.00 90.00 90.00
Fractional coordinates of all 10 atoms:
P 0.355 0.855 0.000
P 0.855 0.645 0.000
P 0.645 0.145 0.000
P 0.145 0.355 0.000
Mg 0.000 0.000 0.000
Mg 0.500 0.500 0.000
Ti 0.144 0.644 0.500
Ti 0.644 0.856 0.500
Ti 0.856 0.356 0.500
Ti 0.356 0.144 0.500

***

8.
Density functional theory data (PBE-GGA) for a geometry-optimized MgTi3P structure.

Results
The symmetry is Pm-3m.

Lattice parameters (Å, degrees): 4.675 4.675 4.675 90.00 90.00 90.00
Site moments in Bohr magnetons follow the coordinates.
Fractional coordinates of all 5 atoms:
P 0.500 0.500 0.500  -0.04
Mg 0.000 0.000 0.000  -0.01
Ti 0.000 0.500 0.000  0.28
Ti 0.000 0.000 0.500  0.33
Ti 0.500 0.000 0.000  0.40

***

9.
Density functional theory data (PBE-GGA) for a geometry-optimized Mg4TiP2 structure.

Results
The symmetry is I4/mmm.

Lattice parameters (Å, degrees): 5.111 5.111 7.708 70.64 70.64 90.00
Site moments in Bohr magnetons follow the coordinates.
Fractional coordinates of all 7 atoms:
P 0.606 0.606 0.788  -0.01
P 0.394 0.394 0.212  -0.01
Mg 0.792 0.792 0.417  0.02
Mg 0.208 0.208 0.583  0.02
Mg 0.000 0.500 0.000  0.06
Mg 0.500 0.000 0.000  0.06
Ti 0.000 0.000 0.000  2.01

***

10.
Density functional theory data (PBE-GGA) for a geometry-optimized MgTiP structure.

Results
The symmetry is P4/nmm.

Lattice parameters (Å, degrees): 3.857 3.857 6.673 90.00 90.00 90.00
Fractional coordinates of all 6 atoms:
Mg 0.000 0.500 0.847
Mg 0.500 0.000 0.153
P 0.000 0.500 0.238
P 0.500 0.000 0.762
Ti 0.500 0.500 0.500
Ti 0.000 0.000 0.500

***

11.
Density functional theory data (PBE-GGA) for a geometry-optimized MgTiP2 structure.

Results
The symmetry is R-3m.

Lattice parameters (Å, degrees): 3.585 3.585 6.526 74.06 74.06 60.00
Fractional coordinates of all 4 atoms:
P 0.256 0.256 0.231
P 0.744 0.744 0.769
Mg 0.500 0.500 0.500
Ti 0.000 0.000 0.000

***

12.
Density functional theory data (PBE-GGA) for a geometry-optimized Mg2TiP structure.

Results
The symmetry is I-42d.

Lattice parameters (Å, degrees): 8.052 8.052 6.213 49.61 49.61 90.00
Site moments in Bohr magnetons follow the coordinates.
Fractional coordinates of all 8 atoms:
P 0.500 0.500 0.000  -0.01
P 0.250 0.750 0.500  -0.01
Mg 0.551 0.125 0.250  0.00
Mg 0.199 0.625 0.250  0.00
Mg 0.375 0.449 0.750  0.00
Mg 0.875 0.801 0.750  0.00
Ti 0.000 0.000 0.000  0.11
Ti 0.750 0.250 0.500  0.11

***

Number 1: ΔE_f -1.03 eV per atom. Number 2: ΔE_f -1.34 eV per atom. Number 3: ΔE_f -0.75 eV per atom. Number 4: ΔE_f -0.23 eV per atom. Number 5: ΔE_f -0.72 eV per atom. Number 6: ΔE_f -0.50 eV per atom. Number 7: ΔE_f -0.86 eV per atom. Number 8: ΔE_f 1.27 eV per atom. Number 9: ΔE_f 0.68 eV per atom. Number 10: ΔE_f -0.76 eV per atom. Number 11: ΔE_f -0.76 eV per atom. Number 12: ΔE_f -0.06 eV per atom.